1.
NaSr3W | PBE | optimized geometry

Cell lengths 6.174, 6.174, 6.174 Å; angles 90.00, 90.00, 90.00 degrees
Space group Pm-3m (No. 221)
Asymmetric unit:
1 Na 0.000 0.000 0.000 (multiplicity 1)
2 Sr 0.000 0.000 0.500 (multiplicity 3)
3 W 0.500 0.500 0.500 (multiplicity 1)

**Relative energy among the computed polymorphs**: 0.621 eV/atom
**Magnetic moment**: 4.7 Bohr magnetons per cell
**Formation energy**: 1.51 eV/atom


2.
Na3SrW | PBE | optimized geometry

Cell lengths 5.894, 5.894, 5.894 Å; angles 90.00, 90.00, 90.00 degrees
Space group Pm-3m (No. 221)
Asymmetric unit:
1 Na 0.000 0.000 0.500 (multiplicity 3)
2 Sr 0.500 0.500 0.500 (multiplicity 1)
3 W 0.000 0.000 0.000 (multiplicity 1)

**Relative energy among the computed polymorphs**: 0.000 eV/atom
**Magnetic moment**: 4.4 Bohr magnetons per cell
**Formation energy**: 1.29 eV/atom


3.
NaSr2Y2 | PBE | optimized geometry

Cell lengths 10.612, 10.612, 3.963 Å; angles 90.00, 90.00, 90.00 degrees
Space group P4/mbm (No. 127)
Asymmetric unit:
1 Na 0.000 0.000 0.000 (multiplicity 2)
2 Sr 0.181 0.319 0.500 (multiplicity 4)
3 Y 0.109 0.609 0.000 (multiplicity 4)

**Relative energy among the computed polymorphs**: 0.000 eV/atom
**Magnetic moment**: 3.2 Bohr magnetons per cell
**Formation energy**: 0.37 eV/atom


4.
Na2SrY | PBE | optimized geometry

Cell lengths 9.315, 9.315, 7.280 Å; angles 90.00, 90.00, 90.00 degrees
Space group I-42d (No. 122)
Asymmetric unit:
1 Na 0.242 0.750 0.125 (multiplicity 8)
2 Sr 0.000 0.000 0.500 (multiplicity 4)
3 Y 0.000 0.000 0.000 (multiplicity 4)

**Relative energy among the computed polymorphs**: 0.179 eV/atom
**Magnetic moment**: 0.0 Bohr magnetons per cell
**Formation energy**: 0.48 eV/atom


5.
NaSrY3 | PBE | optimized geometry

Cell lengths 5.787, 5.787, 5.787 Å; angles 90.00, 90.00, 90.00 degrees
Space group Pm-3m (No. 221)
Asymmetric unit:
1 Na 0.000 0.000 0.000 (multiplicity 1)
2 Sr 0.500 0.500 0.500 (multiplicity 1)
3 Y 0.000 0.000 0.500 (multiplicity 3)

**Relative energy among the computed polymorphs**: 0.000 eV/atom
**Magnetic moment**: 1.8 Bohr magnetons per cell
**Formation energy**: 0.68 eV/atom


6.
NaSrY3 | PBE | optimized geometry

Cell lengths 5.859, 5.859, 5.859 Å; angles 90.00, 90.00, 90.00 degrees
Space group Pm-3m (No. 221)
Asymmetric unit:
1 Na 0.000 0.000 0.000 (multiplicity 1)
2 Sr 0.500 0.500 0.500 (multiplicity 1)
3 Y 0.000 0.500 0.500 (multiplicity 3)

**Relative energy among the computed polymorphs**: 0.369 eV/atom
**Magnetic moment**: 0.0 Bohr magnetons per cell
**Formation energy**: 1.05 eV/atom


7.
Na2SrY | PBE | optimized geometry

Cell lengths 3.6963, 3.6963, 41.1930 Å; angles 90.00, 90.00, 120.00 degrees
Space group R-3m (No. 166, hexagonal axes)
Asymmetric unit:
1 Na 0.0000 0.0000 0.0845 (multiplicity 6)
2 Sr 0.0000 0.0000 0.5000 (multiplicity 3)
3 Y 0.0000 0.0000 0.0000 (multiplicity 3)

**Relative energy among the computed polymorphs**: 0.041 eV/atom
**Magnetic moment**: 0.4 Bohr magnetons per cell
**Formation energy**: 0.34 eV/atom


8.
Na2SrY | PBE | optimized geometry

Cell lengths 8.502, 8.502, 8.502 Å; angles 90.00, 90.00, 90.00 degrees
Space group Fm-3m (No. 225)
Asymmetric unit:
1 Na 0.250 0.250 0.250 (multiplicity 8)
2 Sr 0.000 0.000 0.000 (multiplicity 4)
3 Y 0.000 0.000 0.500 (multiplicity 4)

**Relative energy among the computed polymorphs**: 0.000 eV/atom
**Magnetic moment**: 0.0 Bohr magnetons per cell
**Formation energy**: 0.30 eV/atom


9.
Na3SrY | PBE | optimized geometry

Cell lengths 6.265, 6.265, 6.265 Å; angles 90.00, 90.00, 90.00 degrees
Space group Pm-3m (No. 221)
Asymmetric unit:
1 Na 0.000 0.000 0.500 (multiplicity 3)
2 Sr 0.500 0.500 0.500 (multiplicity 1)
3 Y 0.000 0.000 0.000 (multiplicity 1)

**Relative energy among the computed polymorphs**: 0.000 eV/atom
**Magnetic moment**: 0.0 Bohr magnetons per cell
**Formation energy**: 0.71 eV/atom


10.
Na2Sr2Y | PBE | optimized geometry

Cell lengths 10.277, 10.277, 3.942 Å; angles 90.00, 90.00, 90.00 degrees
Space group P4/mbm (No. 127)
Asymmetric unit:
1 Na 0.160 0.340 0.000 (multiplicity 4)
2 Sr 0.142 0.642 0.500 (multiplicity 4)
3 Y 0.000 0.000 0.500 (multiplicity 2)

**Relative energy among the computed polymorphs**: 0.102 eV/atom
**Magnetic moment**: 1.1 Bohr magnetons per cell
**Formation energy**: 0.34 eV/atom


11.
NaSr2Y | PBE | optimized geometry

Cell lengths 3.920, 3.920, 11.254 Å; angles 90.00, 90.00, 90.00 degrees
Space group P4/mmm (No. 123)
Asymmetric unit:
1 Na 0.000 0.000 0.000 (multiplicity 1)
2 Sr 0.500 0.500 0.257 (multiplicity 2)
3 Y 0.000 0.000 0.500 (multiplicity 1)

**Relative energy among the computed polymorphs**: 0.000 eV/atom
**Magnetic moment**: 0.8 Bohr magnetons per cell
**Formation energy**: 0.13 eV/atom


12.
NaSr2Y | PBE | optimized geometry

Cell lengths 8.867, 8.867, 8.867 Å; angles 90.00, 90.00, 90.00 degrees
Space group Fm-3m (No. 225)
Asymmetric unit:
1 Na 0.000 0.000 0.000 (multiplicity 4)
2 Sr 0.250 0.250 0.250 (multiplicity 8)
3 Y 0.000 0.000 0.500 (multiplicity 4)

**Relative energy among the computed polymorphs**: 0.130 eV/atom
**Magnetic moment**: 0.0 Bohr magnetons per cell
**Formation energy**: 0.26 eV/atom